Entry 1:
# GGA-PBE Pm4GaBi, optimized geometry
data_Pm4GaBi
_chemical_formula_sum 'Pm8 Ga2 Bi2'
_space_group_name_H-M_alt 'P 1'
_space_group_IT_number 1
_cell_length_a 8.3371
_cell_length_b 8.3371
_cell_length_c 6.2757
_cell_angle_alpha 102.00
_cell_angle_beta 102.00
_cell_angle_gamma 115.13
loop_
_space_group_symop_operation_xyz
'x,y,z'
loop_
_atom_site_label
_atom_site_type_symbol
_atom_site_fract_x
_atom_site_fract_y
_atom_site_fract_z
_atom_site_occupancy
Pm1 Pm 0.0766 0.7116 0.9370 1
Pm2 Pm 0.2108 0.3783 0.6532 1
Pm3 Pm 0.2884 0.9234 0.5630 1
Pm4 Pm 0.3783 0.2108 0.1532 1
Pm5 Pm 0.6217 0.7892 0.8468 1
Pm6 Pm 0.7116 0.0766 0.4370 1
Pm7 Pm 0.7892 0.6217 0.3468 1
Pm8 Pm 0.9234 0.2884 0.0630 1
Ga1 Ga 0.0006 0.9994 0.2500 1
Ga2 Ga 0.9994 0.0006 0.7500 1
Bi1 Bi 0.3819 0.6181 0.2500 1
Bi2 Bi 0.6181 0.3819 0.7500 1
# SG: C2/c (15)
# DOS at the Fermi energy: 6.8 states/eV/f.u.
# calculated formation energy: -0.49 eV/atom
# E_tot: -0.17655 Ha/atom

Entry 2:
# GGA-PBE Pm6GaBi2, optimized geometry
data_Pm6GaBi2
_chemical_formula_sum 'Pm6 Ga1 Bi2'
_space_group_name_H-M_alt 'P 1'
_space_group_IT_number 1
_cell_length_a 8.5984
_cell_length_b 8.5984
_cell_length_c 4.4111
_cell_angle_alpha 90.00
_cell_angle_beta 90.00
_cell_angle_gamma 120.00
loop_
_space_group_symop_operation_xyz
'x,y,z'
loop_
_atom_site_label
_atom_site_type_symbol
_atom_site_fract_x
_atom_site_fract_y
_atom_site_fract_z
_atom_site_occupancy
Pm1 Pm 0.0000 0.2417 0.0000 1
Pm2 Pm 0.0000 0.5934 0.5000 1
Pm3 Pm 0.2417 0.0000 0.0000 1
Pm4 Pm 0.4066 0.4066 0.5000 1
Pm5 Pm 0.5934 0.0000 0.5000 1
Pm6 Pm 0.7583 0.7583 0.0000 1
Ga1 Ga 0.0000 0.0000 0.5000 1
Bi1 Bi 0.3333 0.6667 0.0000 1
Bi2 Bi 0.6667 0.3333 0.0000 1
# SG: P-62m (189)
# DOS at the Fermi energy: 9.5 states/eV/f.u.
# calculated formation energy: -0.57 eV/atom
# E_tot: -0.18130 Ha/atom

Entry 3:
# GGA-PBE PmGaBi2, optimized geometry
data_PmGaBi2
_chemical_formula_sum 'Pm2 Ga2 Bi4'
_space_group_name_H-M_alt 'P 1'
_space_group_IT_number 1
_cell_length_a 4.8993
_cell_length_b 4.8993
_cell_length_c 9.4381
_cell_angle_alpha 90.00
_cell_angle_beta 90.00
_cell_angle_gamma 90.00
loop_
_space_group_symop_operation_xyz
'x,y,z'
loop_
_atom_site_label
_atom_site_type_symbol
_atom_site_fract_x
_atom_site_fract_y
_atom_site_fract_z
_atom_site_occupancy
Pm1 Pm 0.2500 0.2500 0.2410 1
Pm2 Pm 0.7500 0.7500 0.7590 1
Ga1 Ga 0.2500 0.7500 0.0000 1
Ga2 Ga 0.7500 0.2500 0.0000 1
Bi1 Bi 0.2500 0.2500 0.8144 1
Bi2 Bi 0.2500 0.7500 0.5000 1
Bi3 Bi 0.7500 0.2500 0.5000 1
Bi4 Bi 0.7500 0.7500 0.1856 1
# SG: P4/nmm (129)
# relative energy among the computed polymorphs: 0.038 eV/atom
# DOS at the Fermi energy: 1.6 states/eV/f.u.
# calculated formation energy: -0.38 eV/atom
# E_tot: -0.15684 Ha/atom

Entry 4:
# GGA-PBE PmGaBi2, optimized geometry
data_PmGaBi2
_chemical_formula_sum 'Pm4 Ga4 Bi8'
_space_group_name_H-M_alt 'P 1'
_space_group_IT_number 1
_cell_length_a 7.7875
_cell_length_b 7.7875
_cell_length_c 7.7875
_cell_angle_alpha 90.00
_cell_angle_beta 90.00
_cell_angle_gamma 90.00
loop_
_space_group_symop_operation_xyz
'x,y,z'
loop_
_atom_site_label
_atom_site_type_symbol
_atom_site_fract_x
_atom_site_fract_y
_atom_site_fract_z
_atom_site_occupancy
Pm1 Pm 0.0000 0.0000 0.0000 1
Pm2 Pm 0.0000 0.5000 0.5000 1
Pm3 Pm 0.5000 0.0000 0.5000 1
Pm4 Pm 0.5000 0.5000 0.0000 1
Ga1 Ga 0.0000 0.0000 0.5000 1
Ga2 Ga 0.0000 0.5000 0.0000 1
Ga3 Ga 0.5000 0.0000 0.0000 1
Ga4 Ga 0.5000 0.5000 0.5000 1
Bi1 Bi 0.2500 0.2500 0.2500 1
Bi2 Bi 0.2500 0.2500 0.7500 1
Bi3 Bi 0.2500 0.7500 0.2500 1
Bi4 Bi 0.2500 0.7500 0.7500 1
Bi5 Bi 0.7500 0.2500 0.2500 1
Bi6 Bi 0.7500 0.2500 0.7500 1
Bi7 Bi 0.7500 0.7500 0.2500 1
Bi8 Bi 0.7500 0.7500 0.7500 1
# SG: Fm-3m (225)
# relative energy among the computed polymorphs: 0.182 eV/atom
# DOS at the Fermi energy: 2.5 states/eV/f.u.
# calculated formation energy: -0.24 eV/atom
# E_tot: -0.15155 Ha/atom